# Pa3Sb

Pa3Sb at its PBEsol-relaxed geometry (meta-GGA SCAN, the Alexandria database). Values from VASP.

Results
ΔE_f (raw): -123 kJ/mol of formula units
raw total energy: -84.383 eV/atom
total magnetization: 0.000 μB/f.u.
SG: Pm-3m (221)

```
&SYSTEM
  ibrav = 0, nat = 4, ntyp = 2
/
ATOMIC_SPECIES
Sb 121.76 Sb.upf
Pa 231.04 Pa.upf
ATOMIC_POSITIONS crystal
Sb 0.000 0.000 0.000
Pa 0.000 0.500 0.500
Pa 0.500 0.500 0.000
Pa 0.500 0.000 0.500
CELL_PARAMETERS angstrom
4.537 0.000 0.000
0.000 4.537 0.000
0.000 0.000 4.537
```


# NbGa2BiTe

NbGa2BiTe at its PBEsol-relaxed geometry (meta-GGA SCAN, the Alexandria database). Values from VASP.

Results
ΔE_f (raw): 235 kJ/mol of formula units
raw total energy: -35.844 eV/atom
total magnetization: 0.000 μB/f.u.
SG: P4/mmm (123)

```
&SYSTEM
  ibrav = 0, nat = 5, ntyp = 4
/
ATOMIC_SPECIES
Nb 92.91 Nb.upf
Te 127.60 Te.upf
Bi 208.98 Bi.upf
Ga 69.72 Ga.upf
ATOMIC_POSITIONS crystal
Nb 0.000 0.000 0.000
Te 0.000 0.000 0.500
Bi 0.500 0.500 0.500
Ga 0.000 0.500 0.000
Ga 0.500 0.000 0.000
CELL_PARAMETERS angstrom
-1.393 4.383 2.155
-4.503 -2.020 1.200
1.961 -1.639 4.600
```


# CrSiSb2S

CrSiSb2S at its PBEsol-relaxed geometry (meta-GGA SCAN, the Alexandria database). Values from VASP.

Results
ΔE_f (raw): 334 kJ/mol of formula units
raw total energy: -21.817 eV/atom
total magnetization: 3.934 μB/f.u.
SG: P4/mmm (123)

```
&SYSTEM
  ibrav = 0, nat = 5, ntyp = 4
/
ATOMIC_SPECIES
Sb 121.76 Sb.upf
S 32.06 S.upf
Si 28.09 Si.upf
Cr 52.00 Cr.upf
ATOMIC_POSITIONS crystal
Sb 0.000 0.000 0.500
Sb 0.000 0.500 0.000
S 0.000 0.000 0.000
Si 0.500 0.500 0.500
Cr 0.500 0.000 0.000
CELL_PARAMETERS angstrom
4.336 0.000 0.000
0.000 5.237 0.000
0.000 0.000 5.237
```


# Sr4Ag

Sr4Ag at its PBEsol-relaxed geometry (meta-GGA SCAN, the Alexandria database). Values from VASP.

Results
E_form: -0.087 eV per atom
raw total energy: -24.181 eV/atom
total magnetization: 0.525 μB/f.u.
SG: I4/m (87)

```
&SYSTEM
  ibrav = 0, nat = 5, ntyp = 2
/
ATOMIC_SPECIES
Sr 87.62 Sr.upf
Ag 107.87 Ag.upf
ATOMIC_POSITIONS crystal
Sr 0.568 0.676 0.189
Sr 0.756 0.811 0.676
Sr 0.432 0.324 0.811
Sr 0.244 0.189 0.324
Ag 0.000 0.000 0.000
CELL_PARAMETERS angstrom
4.024 0.000 0.000
2.012 7.210 0.000
2.012 0.000 7.210
```


# KNa3WO5

KNa3WO5 at its PBEsol-relaxed geometry (meta-GGA SCAN, the Alexandria database). Values from VASP.

Results
ΔE_f (raw): -2074 kJ/mol of formula units
raw total energy: -14.331 eV/atom
total magnetization: 0.001 μB/f.u.
SG: C2/m (12)

```
&SYSTEM
  ibrav = 0, nat = 20, ntyp = 4
/
ATOMIC_SPECIES
K 39.10 K.upf
Na 22.99 Na.upf
W 183.84 W.upf
O 16.00 O.upf
ATOMIC_POSITIONS crystal
K 0.251 0.749 0.500
K 0.749 0.251 0.500
Na 0.158 0.648 0.887
Na 0.352 0.842 0.113
Na 0.842 0.352 0.113
Na 0.189 0.189 0.726
Na 0.648 0.158 0.887
Na 0.811 0.811 0.274
W 0.692 0.692 0.741
W 0.308 0.308 0.259
O 0.254 0.254 0.467
O 0.746 0.746 0.533
O 0.883 0.446 0.846
O 0.097 0.097 0.253
O 0.479 0.479 0.739
O 0.446 0.883 0.846
O 0.554 0.117 0.154
O 0.521 0.521 0.261
O 0.903 0.903 0.747
O 0.117 0.554 0.154
CELL_PARAMETERS angstrom
5.833 0.003 0.001
1.100 5.729 0.001
1.704 1.408 8.804
```


# ZrTe2Se

ZrTe2Se at its PBEsol-relaxed geometry (meta-GGA SCAN, the Alexandria database). Values from VASP.

Results
ΔE_f (raw): -49 kJ/mol of formula units
raw total energy: -31.446 eV/atom
total magnetization: 0.000 μB/f.u.
SG: Cmmm (65)

```
&SYSTEM
  ibrav = 0, nat = 4, ntyp = 3
/
ATOMIC_SPECIES
Se 78.96 Se.upf
Te 127.60 Te.upf
Zr 91.22 Zr.upf
ATOMIC_POSITIONS crystal
Se 0.500 0.500 0.000
Te 0.000 0.500 0.500
Te 0.000 0.000 0.500
Zr 0.500 0.000 0.000
CELL_PARAMETERS angstrom
-3.054 -0.697 -1.584
-1.547 -3.222 4.399
-1.182 5.414 -0.102
```


# SnHSN2

SnHSN2 at its PBEsol-relaxed geometry (meta-GGA SCAN, the Alexandria database). Values from VASP.

Results
raw total energy: -11.713 eV/atom
total magnetization: 0.542 μB/f.u.
SG: P4/mmm (123)

```
&SYSTEM
  ibrav = 0, nat = 5, ntyp = 4
/
ATOMIC_SPECIES
H 1.01 H.upf
S 32.06 S.upf
Sn 118.71 Sn.upf
N 14.01 N.upf
ATOMIC_POSITIONS crystal
H 0.000 0.000 0.000
S 0.500 0.000 0.000
Sn 0.500 0.500 0.500
N 0.000 0.000 0.500
N 0.000 0.500 0.000
CELL_PARAMETERS angstrom
-2.943 -0.115 -0.863
1.017 -2.413 -3.146
-0.561 -3.303 2.352
```


# Na2SrCa

Na2SrCa at its PBEsol-relaxed geometry (meta-GGA SCAN, the Alexandria database). Values from VASP.

Results
E_form: 0.059 eV per atom
raw total energy: -10.033 eV/atom
total magnetization: 0.029 μB/f.u.
SG: Fm-3m (225)

```
&SYSTEM
  ibrav = 0, nat = 4, ntyp = 3
/
ATOMIC_SPECIES
Sr 87.62 Sr.upf
Ca 40.08 Ca.upf
Na 22.99 Na.upf
ATOMIC_POSITIONS crystal
Sr 0.500 0.500 0.500
Ca 0.000 0.000 0.000
Na 0.250 0.250 0.250
Na 0.750 0.750 0.750
CELL_PARAMETERS angstrom
6.126 0.000 0.000
3.063 5.306 0.000
3.063 1.769 5.002
```


# KZrSb2

KZrSb2 at its PBEsol-relaxed geometry (meta-GGA SCAN, the Alexandria database). Values from VASP.

Results
ΔE_f (raw): -82 kJ/mol of formula units
raw total energy: -28.600 eV/atom
total magnetization: 0.000 μB/f.u.
SG: P4/mmm (123)
relative energy among the computed polymorphs: 385 meV per atom

```
&SYSTEM
  ibrav = 0, nat = 4, ntyp = 3
/
ATOMIC_SPECIES
K 39.10 K.upf
Sb 121.76 Sb.upf
Zr 91.22 Zr.upf
ATOMIC_POSITIONS crystal
K 0.500 0.000 0.000
Sb 0.000 0.000 0.500
Sb 0.000 0.500 0.000
Zr 0.500 0.500 0.500
CELL_PARAMETERS angstrom
3.086 0.000 0.000
0.000 5.733 0.000
0.000 0.000 5.733
```


# Ca2ScNi2

Ca2ScNi2 at its PBEsol-relaxed geometry (meta-GGA SCAN, the Alexandria database). Values from VASP.

Results
E_form: 0.262 eV per atom
raw total energy: -12.920 eV/atom
total magnetization: 0.000 μB/f.u.
SG: I4/mmm (139)

```
&SYSTEM
  ibrav = 0, nat = 5, ntyp = 3
/
ATOMIC_SPECIES
Sc 44.96 Sc.upf
Ni 58.69 Ni.upf
Ca 40.08 Ca.upf
ATOMIC_POSITIONS crystal
Sc 0.000 0.000 0.000
Ni 0.409 0.409 0.818
Ni 0.591 0.591 0.182
Ca 0.250 0.750 0.500
Ca 0.750 0.250 0.500
CELL_PARAMETERS angstrom
4.155 0.000 0.000
0.000 4.155 0.000
-2.078 -2.078 6.016
```


# AgAuSe

AgAuSe at its PBEsol-relaxed geometry (meta-GGA SCAN, the Alexandria database). Values from VASP.

Results
ΔE_f (raw): 67 kJ/mol of formula units
raw total energy: -39.969 eV/atom
total magnetization: 0.000 μB/f.u.
SG: P3m1 (156)

```
&SYSTEM
  ibrav = 0, nat = 3, ntyp = 3
/
ATOMIC_SPECIES
Ag 107.87 Ag.upf
Au 196.97 Au.upf
Se 78.96 Se.upf
ATOMIC_POSITIONS crystal
Ag 0.000 0.000 0.999
Au 0.333 0.667 0.678
Se 0.667 0.333 0.323
CELL_PARAMETERS angstrom
2.959 0.000 0.000
-1.479 2.563 0.000
0.000 0.000 7.053
```


# Li2AgAu

Li2AgAu at its PBEsol-relaxed geometry (meta-GGA SCAN, the Alexandria database). Values from VASP.

Results
E_form: -0.437 eV per atom
raw total energy: -26.763 eV/atom
total magnetization: 0.000 μB/f.u.
SG: I-4m2 (119)
relative energy among the computed polymorphs: 3 meV per atom

```
&SYSTEM
  ibrav = 0, nat = 4, ntyp = 3
/
ATOMIC_SPECIES
Au 196.97 Au.upf
Ag 107.87 Ag.upf
Li 6.94 Li.upf
ATOMIC_POSITIONS crystal
Au 0.250 0.750 0.500
Ag 0.000 0.000 0.000
Li 0.500 0.500 0.000
Li 0.750 0.250 0.500
CELL_PARAMETERS angstrom
-1.705 -2.019 2.812
-0.278 -3.045 -2.354
4.641 1.218 1.040
```


# ScCd2Sb

ScCd2Sb at its PBEsol-relaxed geometry (meta-GGA SCAN, the Alexandria database). Values from VASP.

Results
ΔE_f (raw): -140 kJ/mol of formula units
raw total energy: -28.443 eV/atom
total magnetization: 0.000 μB/f.u.
SG: I4/mmm (139)

```
&SYSTEM
  ibrav = 0, nat = 4, ntyp = 3
/
ATOMIC_SPECIES
Cd 112.41 Cd.upf
Sb 121.76 Sb.upf
Sc 44.96 Sc.upf
ATOMIC_POSITIONS crystal
Cd 0.750 0.250 0.500
Cd 0.250 0.750 0.500
Sb 0.500 0.500 0.000
Sc 0.000 0.000 0.000
CELL_PARAMETERS angstrom
4.090 0.000 0.000
0.000 4.090 0.000
-2.045 -2.045 5.226
```